Cs3Mn4P12O36 after structural relaxation, computed with GGA+U.

abc: 9.7068 9.7068 12.6783
angles: 120.96 120.96 63.16
Last column: nearest neighbours and their distance in Å.
Fractional coordinates of all 55 atoms:
Cs1 0.0000 0.0000 0.0000  10 O 3.22-3.60
Cs2 0.2147 0.7853 0.5000  6 O 3.11-3.40
Cs3 0.7853 0.2147 0.5000  6 O 3.11-3.40
Mn1 0.2088 0.2088 0.9119  6 O 2.06-2.15
Mn2 0.2483 0.2483 0.4263  6 O 2.17-2.25
Mn3 0.7517 0.7517 0.5737  6 O 2.17-2.25
Mn4 0.7912 0.7912 0.0881  6 O 2.06-2.15
P1 0.1668 0.5819 0.6985  4 O 1.50-1.63
P2 0.1969 0.6056 0.1304  4 O 1.49-1.64
P3 0.2403 0.2403 0.6771  4 O 1.50-1.60
P4 0.3303 0.3303 0.2256  4 O 1.49-1.62
P5 0.3944 0.8031 0.8696  4 O 1.49-1.64
P6 0.4181 0.8332 0.3015  4 O 1.50-1.63
P7 0.5819 0.1668 0.6985  4 O 1.50-1.63
P8 0.6056 0.1969 0.1304  4 O 1.49-1.64
P9 0.6697 0.6697 0.7744  4 O 1.49-1.62
P10 0.7597 0.7597 0.3229  4 O 1.50-1.60
P11 0.8031 0.3944 0.8696  4 O 1.49-1.64
P12 0.8332 0.4181 0.3015  4 O 1.50-1.63
O1 0.0077 0.7085 0.7097  1 P 1.50
O2 0.0544 0.7506 0.1585  1 P 1.50
O3 0.1765 0.4737 0.9955  1 P 1.49
O4 0.1780 0.1780 0.5286  1 P 1.50
O5 0.1783 0.1783 0.7285  1 P 1.51
O6 0.1884 0.4387 0.7403  2 P 1.60-1.62
O7 0.1993 0.5073 0.5736  1 P 1.50
O8 0.2285 0.2285 0.0906  1 P 1.51
O9 0.2494 0.9456 0.8415  1 P 1.50
O10 0.2719 0.5217 0.2395  2 P 1.62-1.64
O11 0.2915 0.9923 0.2903  1 P 1.50
O12 0.3229 0.6529 0.8253  2 P 1.61-1.63
O13 0.3344 0.3344 0.3466  1 P 1.49
O14 0.3471 0.6771 0.1747  2 P 1.61-1.63
O15 0.4387 0.1884 0.7403  2 P 1.60-1.62
O16 0.4737 0.1765 0.9955  1 P 1.49
O17 0.4783 0.7281 0.7605  2 P 1.62-1.64
O18 0.4927 0.8007 0.4264  1 P 1.50
O19 0.5073 0.1993 0.5736  1 P 1.50
O20 0.5217 0.2719 0.2395  2 P 1.62-1.64
O21 0.5263 0.8235 0.0045  1 P 1.49
O22 0.5613 0.8116 0.2597  2 P 1.60-1.62
O23 0.6529 0.3229 0.8253  2 P 1.61-1.63
O24 0.6656 0.6656 0.6534  1 P 1.49
O25 0.6771 0.3471 0.1747  2 P 1.61-1.63
O26 0.7085 0.0077 0.7097  1 P 1.50
O27 0.7281 0.4783 0.7605  2 P 1.62-1.64
O28 0.7506 0.0544 0.1585  1 P 1.50
O29 0.7715 0.7715 0.9094  1 P 1.51
O30 0.8007 0.4927 0.4264  1 P 1.50
O31 0.8116 0.5613 0.2597  2 P 1.60-1.62
O32 0.8217 0.8217 0.2715  1 P 1.51
O33 0.8220 0.8220 0.4714  1 P 1.50
O34 0.8235 0.5263 0.0045  1 P 1.49
O35 0.9456 0.2494 0.8415  1 P 1.50
O36 0.9923 0.2915 0.2903  1 P 1.50

Properties
- N(E_F): 0.12 states/eV per atom
- Total energy: -7.18 eV/atom
- Calculated density: 3.061 g cm⁻³